1.
DFT (GGA-PBE) results for a relaxed FeSiAg2 crystal.

Values from the calculation:
- Size of the total moment: 0.6144 μB/atom
- Space group: Immm (71)
- Calculated density: 8.0 Mg/m³
- Formation energy from raw total energies: 0.302 eV/atom

The structure in CIF format:
```
data_FeSiAg2
_space_group_name_H-M_alt 'P 1'
_space_group_IT_number 1
_space_group_name_Hall 'P 1'
_cell_length_a 2.849
_cell_length_b 4.488
_cell_length_c 9.704
_cell_angle_alpha 90.00
_cell_angle_beta 90.00
_cell_angle_gamma 90.00
loop_
_atom_site_label
_atom_site_fract_x
_atom_site_fract_y
_atom_site_fract_z
Fe1 0.000 0.000 0.000
Fe2 0.500 0.500 0.500
Si1 0.000 0.000 0.500
Si2 0.500 0.500 0.000
Ag1 0.000 0.500 0.228
Ag2 0.000 0.500 0.772
Ag3 0.500 0.000 0.272
Ag4 0.500 0.000 0.728
```

=====

2.
DFT (GGA-PBE) results for a relaxed FeSiAg2 crystal.

Values from the calculation:
- Size of the total moment: 0.3860 μB/atom
- Space group: R3m (160)
- Calculated density: 8.2 Mg/m³
- Formation energy from raw total energies: 0.190 eV/atom

The structure in CIF format:
```
data_FeSiAg2
_space_group_name_H-M_alt 'P 1'
_space_group_IT_number 1
_space_group_name_Hall 'P 1'
_cell_length_a 2.837
_cell_length_b 2.837
_cell_length_c 26.019
_cell_angle_alpha 90.00
_cell_angle_beta 90.00
_cell_angle_gamma 120.00
loop_
_atom_site_label
_atom_site_fract_x
_atom_site_fract_y
_atom_site_fract_z
Fe1 0.000 0.000 0.000
Fe2 0.333 0.667 0.667
Fe3 0.667 0.333 0.333
Si1 0.000 0.000 0.731
Si2 0.333 0.667 0.398
Si3 0.667 0.333 0.064
Ag1 0.000 0.000 0.247
Ag2 0.000 0.000 0.484
Ag3 0.333 0.667 0.151
Ag4 0.333 0.667 0.914
Ag5 0.667 0.333 0.581
Ag6 0.667 0.333 0.818
```

=====

3.
DFT (GGA-PBE) results for a relaxed Fe2SiAg crystal.

Values from the calculation:
- Size of the total moment: 1.0992 μB/atom
- Space group: R3m (160)
- Calculated density: 7.5 Mg/m³
- Formation energy from raw total energies: 0.195 eV/atom

The structure in CIF format:
```
data_Fe2SiAg
_space_group_name_H-M_alt 'P 1'
_space_group_IT_number 1
_space_group_name_Hall 'P 1'
_cell_length_a 2.764
_cell_length_b 2.764
_cell_length_c 24.877
_cell_angle_alpha 90.00
_cell_angle_beta 90.00
_cell_angle_gamma 120.00
loop_
_atom_site_label
_atom_site_fract_x
_atom_site_fract_y
_atom_site_fract_z
Fe1 0.000 0.000 0.000
Fe2 0.000 0.000 0.259
Fe3 0.333 0.667 0.667
Fe4 0.333 0.667 0.926
Fe5 0.667 0.333 0.333
Fe6 0.667 0.333 0.592
Si1 0.000 0.000 0.739
Si2 0.333 0.667 0.405
Si3 0.667 0.333 0.072
Ag1 0.000 0.000 0.499
Ag2 0.333 0.667 0.166
Ag3 0.667 0.333 0.832
```

=====

4.
DFT (GGA-PBE) results for a relaxed FeSiAg2Sn crystal.

Values from the calculation:
- Size of the total moment: 0.6670 μB/atom
- Space group: P4/mmm (123)
- Calculated density: 6.0 Mg/m³
- Formation energy from raw total energies: 0.900 eV/atom

The structure in CIF format:
```
data_FeSiAg2Sn
_space_group_name_H-M_alt 'P 1'
_space_group_IT_number 1
_space_group_name_Hall 'P 1'
_cell_length_a 4.695
_cell_length_b 4.695
_cell_length_c 5.289
_cell_angle_alpha 90.00
_cell_angle_beta 90.00
_cell_angle_gamma 90.00
loop_
_atom_site_label
_atom_site_fract_x
_atom_site_fract_y
_atom_site_fract_z
Fe1 0.000 0.000 0.000
Si1 0.500 0.500 0.500
Ag1 0.000 0.500 0.500
Ag2 0.500 0.000 0.500
Sn1 0.500 0.500 0.000
```